BeAgAu | the Alexandria database | SCAN | PBEsol geometry; energy relative to the lowest polymorph listed for this composition = 130 meV per atom; total energy = -104.92 eV for the cell shown; formation energy = -0.014 eV per atom
1.0
2.859 0.000 0.000
-1.429 2.476 0.000
0.000 0.000 6.077
Be Ag Au
1 1 1
direct
0.000 0.000 0.000
0.333 0.667 0.694
0.667 0.333 0.290